Pb2W: relaxed, PBEsol.

a = 5.2401 Å, b = 5.2401 Å, c = 2.8928 Å
α = 90.00°, β = 90.00°, γ = 120.00°
Space group P6/mmm (No. 191)
Symmetry-distinct sites (fractional):
Pb (0.3333, 0.6667, 0.0000) x2
W (0.0000, 0.0000, 0.5000) x1

Values from the calculation:
E above lowest polymorph: 0.489 eV per atom
ΔH_f (0 K): 372 kJ/mol of formula units
D(E_F): 3.05 states/eV/f.u.